1.
# Na3Ca

A relaxed structure of Na3Ca (GGA-PBEsol, the Alexandria database).

Cell: 7.5046 7.5046 6.0729 Å, 90.00 90.00 120.00°
Space group P6_3/mmc (No. 194)
Symmetry-distinct sites (fractional):
Na 0.1643 0.3286 0.2500 (multiplicity 6)
Ca 0.3333 0.6667 0.7500 (multiplicity 2)

Total moment in μB/cell: 0.00
E in eV per atom: -1.51



2.
# NaCa3

A relaxed structure of NaCa3 (GGA-PBEsol, the Alexandria database).

Cell: 5.288 5.288 11.294 Å, 90.00 90.00 90.00°
Space group I4/mmm (No. 139)
Symmetry-distinct sites (fractional):
Na 0.000 0.000 0.000 (multiplicity 2)
Ca 0.000 0.000 0.500 (multiplicity 2)
Ca 0.000 0.500 0.250 (multiplicity 4)

Total moment in μB/cell: 0.00
E in eV per atom: -1.88



3.
# NaCa3

A relaxed structure of NaCa3 (GGA-PBEsol, the Alexandria database).

Cell: 8.586 8.586 8.586 Å, 90.00 90.00 90.00°
Space group Fm-3m (No. 225)
Symmetry-distinct sites (fractional):
Na 0.000 0.000 0.000 (multiplicity 4)
Ca 0.000 0.000 0.500 (multiplicity 4)
Ca 0.250 0.250 0.250 (multiplicity 8)

Total moment in μB/cell: 0.00
E in eV per atom: -1.87



4.
# Na3Ca

A relaxed structure of Na3Ca (GGA-PBEsol, the Alexandria database).

Cell: 8.405 8.405 8.405 Å, 90.00 90.00 90.00°
Space group Fm-3m (No. 225)
Symmetry-distinct sites (fractional):
Na 0.000 0.000 0.000 (multiplicity 4)
Na 0.250 0.250 0.250 (multiplicity 8)
Ca 0.000 0.000 0.500 (multiplicity 4)

Total moment in μB/cell: 0.00
E in eV per atom: -1.50



5.
# Na3Ca

A relaxed structure of Na3Ca (GGA-PBEsol, the Alexandria database).

Cell: 5.302 5.302 5.302 Å, 90.00 90.00 90.00°
Space group Pm-3m (No. 221)
Symmetry-distinct sites (fractional):
Na 0.000 0.000 0.500 (multiplicity 3)
Ca 0.500 0.500 0.500 (multiplicity 1)

Total moment in μB/cell: 0.00
E in eV per atom: -1.51



6.
# NaCa9Ti9NbSi10O50

A relaxed structure of NaCa9Ti9NbSi10O50 (GGA-PBEsol, the Alexandria database).

Cell: 5.448 7.452 24.171 Å, 81.78 87.73 72.55°
Space group P1 (No. 1)
Symmetry-distinct sites (fractional):
Na 0.000 0.000 0.000 (multiplicity 1)
Ca 0.035 0.620 0.430 (multiplicity 1)
Ca 0.216 0.781 0.596 (multiplicity 1)
Ca 0.250 0.402 0.025 (multiplicity 1)
Ca 0.410 0.587 0.200 (multiplicity 1)
Ca 0.438 0.218 0.628 (multiplicity 1)
Ca 0.618 0.381 0.796 (multiplicity 1)
Ca 0.634 0.021 0.230 (multiplicity 1)
Ca 0.814 0.183 0.398 (multiplicity 1)
Ca 0.839 0.816 0.827 (multiplicity 1)
Ti 0.020 0.305 0.215 (multiplicity 1)
Ti 0.126 0.201 0.513 (multiplicity 1)
Ti 0.229 0.097 0.811 (multiplicity 1)
Ti 0.319 0.008 0.115 (multiplicity 1)
Ti 0.423 0.902 0.414 (multiplicity 1)
Ti 0.529 0.799 0.712 (multiplicity 1)
Ti 0.725 0.603 0.315 (multiplicity 1)
Ti 0.826 0.500 0.612 (multiplicity 1)
Ti 0.930 0.393 0.912 (multiplicity 1)
Nb 0.622 0.708 0.012 (multiplicity 1)
Si 0.125 0.522 0.725 (multiplicity 1)
Si 0.128 0.879 0.300 (multiplicity 1)
Si 0.321 0.324 0.328 (multiplicity 1)
Si 0.334 0.672 0.896 (multiplicity 1)
Si 0.523 0.127 0.924 (multiplicity 1)
Si 0.530 0.477 0.499 (multiplicity 1)
Si 0.723 0.923 0.527 (multiplicity 1)
Si 0.729 0.278 0.101 (multiplicity 1)
Si 0.920 0.723 0.128 (multiplicity 1)
Si 0.932 0.076 0.698 (multiplicity 1)
O 0.022 0.206 0.077 (multiplicity 1)
O 0.031 0.406 0.354 (multiplicity 1)
O 0.069 0.508 0.159 (multiplicity 1)
O 0.076 0.322 0.576 (multiplicity 1)
O 0.099 0.849 0.145 (multiplicity 1)
O 0.117 0.525 0.657 (multiplicity 1)
O 0.136 0.875 0.368 (multiplicity 1)
O 0.151 0.552 0.878 (multiplicity 1)
O 0.177 0.078 0.449 (multiplicity 1)
O 0.190 0.890 0.867 (multiplicity 1)
O 0.222 0.994 0.672 (multiplicity 1)
O 0.236 0.209 0.950 (multiplicity 1)
O 0.271 0.122 0.179 (multiplicity 1)
O 0.273 0.304 0.754 (multiplicity 1)
O 0.305 0.645 0.743 (multiplicity 1)
O 0.312 0.327 0.260 (multiplicity 1)
O 0.348 0.660 0.965 (multiplicity 1)
O 0.350 0.354 0.481 (multiplicity 1)
O 0.374 0.884 0.049 (multiplicity 1)
O 0.381 0.695 0.471 (multiplicity 1)
O 0.419 0.797 0.274 (multiplicity 1)
O 0.433 0.005 0.552 (multiplicity 1)
O 0.470 0.106 0.356 (multiplicity 1)
O 0.479 0.923 0.775 (multiplicity 1)
O 0.501 0.448 0.346 (multiplicity 1)
O 0.518 0.125 0.856 (multiplicity 1)
O 0.538 0.474 0.567 (multiplicity 1)
O 0.554 0.150 0.083 (multiplicity 1)
O 0.573 0.492 0.070 (multiplicity 1)
O 0.580 0.678 0.648 (multiplicity 1)
O 0.625 0.593 0.871 (multiplicity 1)
O 0.628 0.805 0.154 (multiplicity 1)
O 0.666 0.907 0.952 (multiplicity 1)
O 0.674 0.724 0.378 (multiplicity 1)
O 0.697 0.253 0.942 (multiplicity 1)
O 0.714 0.927 0.458 (multiplicity 1)
O 0.731 0.281 0.169 (multiplicity 1)
O 0.753 0.953 0.679 (multiplicity 1)
O 0.774 0.478 0.251 (multiplicity 1)
O 0.783 0.294 0.670 (multiplicity 1)
O 0.820 0.395 0.473 (multiplicity 1)
O 0.834 0.604 0.751 (multiplicity 1)
O 0.873 0.704 0.555 (multiplicity 1)
O 0.884 0.520 0.975 (multiplicity 1)
O 0.903 0.046 0.545 (multiplicity 1)
O 0.913 0.716 0.061 (multiplicity 1)
O 0.941 0.073 0.766 (multiplicity 1)
O 0.950 0.754 0.281 (multiplicity 1)
O 0.978 0.096 0.272 (multiplicity 1)
O 0.981 0.273 0.848 (multiplicity 1)

ΔE_f (raw) in kJ/mol of atoms: -292
Total moment in μB/cell: 0.00



7.
# NaCaNbTe2

A relaxed structure of NaCaNbTe2 (GGA-PBEsol, the Alexandria database).

Cell: 5.524 5.524 4.885 Å, 90.00 90.00 90.00°
Space group P4/mmm (No. 123)
Symmetry-distinct sites (fractional):
Na 0.000 0.000 0.000 (multiplicity 1)
Ca 0.500 0.500 0.500 (multiplicity 1)
Nb 0.000 0.000 0.500 (multiplicity 1)
Te 0.000 0.500 0.000 (multiplicity 2)

ΔE_f (raw) in kJ/mol of atoms: 58
Total moment in μB/cell: 4.00



8.
# NaCa3Ni

A relaxed structure of NaCa3Ni (GGA-PBEsol, the Alexandria database).

Cell: 5.469 5.469 5.469 Å, 90.00 90.00 90.00°
Space group Pm-3m (No. 221)
Symmetry-distinct sites (fractional):
Na 0.000 0.000 0.000 (multiplicity 1)
Ca 0.000 0.500 0.500 (multiplicity 3)
Ni 0.500 0.500 0.500 (multiplicity 1)

Total moment in μB/cell: 0.00
E in eV per atom: -2.81